1.
Entry from Alexandria: La3Br at its PBEsol-relaxed geometry (meta-GGA SCAN).

polymorph energy (0 for the lowest one) = 1.037 eV per formula unit
space-group type = P2/m, No. 10

Cell: 3.713 5.522 5.908 Å, 90.00 90.00 92.57°
Sites, in units of the cell vectors:
Br 0.000 0.000 0.000
La 0.170 0.738 0.500
La 0.500 0.500 0.000
La 0.830 0.262 0.500

***

2.
Entry from Alexandria: LaBr at its PBEsol-relaxed geometry (meta-GGA SCAN).

space-group type = P4/nmm, No. 129

Cell: 4.212 4.212 6.126 Å, 90.00 90.00 90.00°
Sites, in units of the cell vectors:
Br 0.000 0.500 0.209
Br 0.500 0.000 0.791
La 0.500 0.000 0.295
La 0.000 0.500 0.705

***

For the records above, the corresponding V values read 30.25, 27.17 Å³/atom.
For the records above, the corresponding raw total energy values read -37.664, -32.696 eV per atom.
For the records above, the corresponding E_form (uncorrected) values read -0.470, -1.414 eV per atom.